DFT (PBE) results for crystalline ZrScW2 at its relaxed geometry.

Summary:
calculated formation energy = 248 meV per atom

The structure in POSCAR format:
```
ZrScW2
1.0
2.8583 0.0164 0.0000
-0.8853 2.7178 0.0000
0.0000 0.0000 9.4836
Sc W Zr
1 2 1
Direct
0.5000 0.5000 0.7500
0.0000 0.0000 0.9995
0.0000 0.0000 0.5005
0.5000 0.5000 0.2500
```



DFT (PBE) results for crystalline ZrScW2 at its relaxed geometry.

Summary:
calculated formation energy = 345 meV per atom

The structure in POSCAR format:
```
ZrScW2
1.0
-4.9941 -2.4522 -0.1421
2.9380 -0.0746 4.7262
-1.1901 2.3788 0.7774
Sc W Zr
1 2 1
Direct
0.0000 0.5000 0.5000
0.0000 0.0000 0.0000
0.5000 0.5000 0.0000
0.5000 0.0000 0.5000
```



DFT (PBE) results for crystalline ZrScW2 at its relaxed geometry.

Summary:
calculated formation energy = 204 meV per atom

The structure in POSCAR format:
```
ZrScW2
1.0
-3.8747 1.9609 1.8106
-2.6635 -2.4665 -2.9932
3.0585 -2.2114 2.8093
Sc W Zr
1 2 1
Direct
0.7500 0.2500 0.5000
0.0000 0.0000 0.0000
0.2500 0.7500 0.5000
0.5000 0.5000 0.0000
```



DFT (PBE) results for crystalline ZrSc2W at its relaxed geometry.

Summary:
calculated formation energy = 184 meV per atom

The structure in POSCAR format:
```
ZrSc2W
1.0
-4.8081 -0.7565 0.3601
0.7860 -4.4206 1.9131
2.0319 3.9550 2.0123
Sc W Zr
2 1 1
Direct
0.0000 0.0000 0.0000
0.2500 0.7500 0.5000
0.5000 0.5000 0.0000
0.7500 0.2500 0.5000
```